Entry 1:
Cr2WSe: optimized geometry, GGA-PBE.

It has space group R3m (No. 160, hexagonal axes), with a = 2.9304 Å, b = 2.9304 Å, c = 23.4635 Å, α = 90.00°, β = 90.00° and γ = 120.00°. Symmetry generates all atoms from Cr at (0.0000, 0.0000, 0.0000), Cr at (0.0000, 0.0000, 0.2651), W at (0.0000, 0.0000, 0.5061) and Se at (0.0000, 0.0000, 0.7550).

The calculated total energy comes out at -8.476 eV per atom. The value obtained for the uncorrected formation energy is 0.445 eV/atom. The total magnetic moment comes out at 0.01 μB per formula unit. The calculated density comes out at 10.5 Mg/m³.


Entry 2:
TbNd2Ru: optimized geometry, GGA-PBE.

It has space group Pnma (No. 62), with a = 7.376 Å, b = 9.682 Å, c = 6.409 Å, α = 90.00°, β = 90.00° and γ = 90.00°. Symmetry generates all atoms from Tb at (0.043, 0.250, 0.145), Nd at (0.177, 0.066, 0.671) and Ru at (0.115, 0.750, 0.457).

The calculated total energy comes out at -6.082 eV per atom. The calculation puts the calculated formation energy at -0.221 eV/atom. The total magnetic moment comes out at 0.00 μB per formula unit. The calculated density comes out at 8.0 Mg/m³.